First-principles (GGA-PBE) data for a geometry-optimized Tm2HOs structure, as listed in Alexandria via LeMat-Bulk.

Values from the calculation:
* calculated volume: 17.878 Å³ per atom
* excess energy over the best structure of this formula in the dataset: 37 meV/atom

Cell: 3.4621 3.4621 20.6669 Å, 90.00 90.00 120.00°
Last column: nearest neighbours and their distance in Å.
Space group R-3m (No. 166, hexagonal axes)
Unique sites:
1 Tm 0.0000 0.0000 0.2391 (multiplicity 6)  3 H 2.50, 3 Os 2.79
2 H 0.0000 0.0000 0.5000 (multiplicity 3)  6 Tm 2.50
3 Os 0.0000 0.0000 0.0000 (multiplicity 3)  6 Tm 2.79